Record 1
! BiRu3O, relaxed, DFT PBE-GGA; values from VASP
! formation energy (no corrections)	12.63	eV/f.u.
! space-group type	No. 221
! energy relative to the lowest polymorph listed for this composition	2100	meV per atom
&SYSTEM
  ibrav = 0, nat = 5, ntyp = 3
/
ATOMIC_SPECIES
Bi 208.98 Bi.upf
Ru 101.07 Ru.upf
O 16.00 O.upf
CELL_PARAMETERS angstrom
5.0532 0.0000 0.0000
0.0000 5.0532 0.0000
0.0000 0.0000 5.0532
ATOMIC_POSITIONS crystal
Bi 0.0000 0.0000 0.0000
Ru 0.0000 0.0000 0.5000
Ru 0.0000 0.5000 0.0000
Ru 0.5000 0.0000 0.0000
O 0.5000 0.5000 0.5000


Record 2
! BaBF5, relaxed, DFT PBE-GGA; values from VASP
! formation energy (no corrections)	-23.47	eV/f.u.
! space-group type	No. 38
&SYSTEM
  ibrav = 0, nat = 7, ntyp = 3
/
ATOMIC_SPECIES
Ba 137.33 Ba.upf
B 10.81 B.upf
F 19.00 F.upf
CELL_PARAMETERS angstrom
5.3751 0.0000 0.0000
0.0000 2.4435 3.8927
0.0000 -2.4435 3.8927
ATOMIC_POSITIONS crystal
Ba 0.0000 0.0000 0.0000
B 0.5000 0.4091 0.4091
F 0.0000 0.6597 0.6597
F 0.2805 0.3074 0.3074
F 0.5000 0.2725 0.7483
F 0.5000 0.7483 0.2725
F 0.7195 0.3074 0.3074


Record 3
! BeIn2Co, relaxed, DFT PBE-GGA; values from VASP
! space-group type	No. 6
! energy of formation from the pure elements	0.16	eV per atom
&SYSTEM
  ibrav = 0, nat = 4, ntyp = 3
/
ATOMIC_SPECIES
Be 9.01 Be.upf
In 114.82 In.upf
Co 58.93 Co.upf
CELL_PARAMETERS angstrom
3.7352 0.0000 0.0000
0.0000 3.6919 0.0000
-1.8531 0.0000 4.7447
ATOMIC_POSITIONS crystal
Be 0.0000 0.0000 0.0000
In 0.2937 0.0000 0.5859
In 0.5869 0.5000 0.1769
Co 0.8779 0.5000 0.7570


Record 4
! LaScMn2, relaxed, DFT PBE-GGA; values from VASP
! space-group type	No. 10
! energy of formation from the pure elements	0.19	eV per atom
&SYSTEM
  ibrav = 0, nat = 4, ntyp = 3
/
ATOMIC_SPECIES
La 138.91 La.upf
Sc 44.96 Sc.upf
Mn 54.94 Mn.upf
CELL_PARAMETERS angstrom
3.5046 0.0000 0.0000
0.0000 3.5337 0.0000
-0.0083 0.0000 6.8601
ATOMIC_POSITIONS crystal
La 0.0000 0.0000 0.0000
Sc 0.0000 0.0000 0.5000
Mn 0.4997 0.5000 0.3001
Mn 0.5003 0.5000 0.6999


Magnetization (μB per atom)
1.275; 0.010; 0.000; 1.399